Entry 1:
## RbAgBr3 (PBE-GGA)

Data for a relaxed structure of RbAgBr3.

Properties
- Crystal system: monoclinic
- N(E_F): 12.174 states/eV/cell
- DFT total energy: -2.557 eV/atom

Unit cell a=6.2482 b=7.2546 c=7.9138 alpha=90.00 beta=90.86 gamma=90.00
Element x y z (fractional)
Rb1 0.2365 0.2500 0.4135
Rb2 0.7635 0.7500 0.5865
Ag1 0.0547 0.7500 0.0608
Ag2 0.9453 0.2500 0.9392
Br1 0.2357 0.5028 0.8654
Br2 0.2357 0.9972 0.8654
Br3 0.2621 0.7500 0.3826
Br4 0.7379 0.2500 0.6174
Br5 0.7643 0.0028 0.1346
Br6 0.7643 0.4972 0.1346

Entry 2:
## TbNp2Sn9 (PBE-GGA)

Data for a relaxed structure of TbNp2Sn9.

Properties
- Crystal system: tetragonal
- Energy of formation from the pure elements: -241 meV/atom
- N(E_F): 24.776 states/eV/cell

Unit cell a=4.6752 b=4.6752 c=13.9717 alpha=90.00 beta=90.00 gamma=90.00
Element x y z (fractional)
Tb1 0.0000 0.0000 0.0000
Np1 0.0000 0.0000 0.3360
Np2 0.0000 0.0000 0.6640
Sn1 0.0000 0.5000 0.1693
Sn2 0.0000 0.5000 0.5000
Sn3 0.0000 0.5000 0.8307
Sn4 0.5000 0.0000 0.1693
Sn5 0.5000 0.0000 0.5000
Sn6 0.5000 0.0000 0.8307
Sn7 0.5000 0.5000 0.0000
Sn8 0.5000 0.5000 0.3342
Sn9 0.5000 0.5000 0.6658

Entry 3:
## SmScN2 (PBE-GGA)

Data for a relaxed structure of SmScN2.

Properties
- Crystal system: trigonal
- DFT total energy: -8.239 eV/atom

Unit cell a=6.1330 b=6.1330 c=6.1330 alpha=31.74 beta=31.74 gamma=31.74
Element x y z (fractional)
Sm1 0.0000 0.0000 0.0000
Sc1 0.1710 0.1710 0.1710
N1 0.4292 0.4292 0.4292
N2 0.5855 0.5855 0.5855

Entry 4:
## VAs2CBr (PBE-GGA)

Data for a relaxed structure of VAs2CBr.

Properties
- Crystal system: tetragonal
- N(E_F): 3.422 states/eV/cell
- DFT total energy: -4.665 eV/atom

Unit cell a=4.2930 b=4.2930 c=4.6986 alpha=90.00 beta=90.00 gamma=90.00
Element x y z (fractional)
V1 0.0000 0.0000 0.0000
As1 0.0000 0.5000 0.5000
As2 0.5000 0.0000 0.5000
C1 0.5000 0.5000 0.5000
Br1 0.5000 0.5000 0.0000

Entry 5:
## Tl2Ni2C (PBE-GGA)

Data for a relaxed structure of Tl2Ni2C.

Properties
- Crystal system: tetragonal
- Energy of formation from the pure elements: 780 meV/atom
- N(E_F): 1.921 states/eV/cell

Unit cell a=4.9510 b=4.9510 c=4.9510 alpha=113.49 beta=113.49 gamma=101.70
Element x y z (fractional)
Tl1 0.2500 0.7500 0.5000
Tl2 0.7500 0.2500 0.5000
Ni1 0.2225 0.2225 0.0000
Ni2 0.7775 0.7775 0.0000
C1 0.5000 0.5000 0.0000

Entry 6:
## AcGdGaNi (PBE-GGA)

Data for a relaxed structure of AcGdGaNi.

Properties
- Crystal system: cubic
- Energy of formation from the pure elements: -283 meV/atom
- N(E_F): 3.984 states/eV/cell

Unit cell a=5.2107 b=5.2107 c=5.2107 alpha=60.00 beta=60.00 gamma=60.00
Element x y z (fractional)
Ac1 0.0000 0.0000 0.0000
Gd1 0.5000 0.5000 0.5000
Ga1 0.2500 0.2500 0.2500
Ni1 0.7500 0.7500 0.7500

Entry 7:
## Co2TePt (PBE-GGA)

Data for a relaxed structure of Co2TePt.

Properties
- Crystal system: orthorhombic
- N(E_F): 5.143 states/eV/cell
- DFT total energy: -5.620 eV/atom

Unit cell a=4.4204 b=4.4204 c=3.1023 alpha=90.00 beta=90.00 gamma=101.98
Element x y z (fractional)
Co1 0.0000 0.5000 0.0000
Co2 0.5000 0.0000 0.0000
Te1 0.0000 0.0000 0.5000
Pt1 0.5000 0.5000 0.5000

Entry 8:
## CdSiTeO6 (PBE-GGA)

Data for a relaxed structure of CdSiTeO6.

Properties
- Crystal system: trigonal
- N(E_F): 0.000 states/eV/cell
- DFT total energy: -5.951 eV/atom

Unit cell a=4.9895 b=4.9895 c=9.9174 alpha=90.00 beta=90.00 gamma=120.00
Element x y z (fractional)
Cd1 0.0000 0.0000 0.0000
Cd2 0.0000 0.0000 0.5000
Si1 0.3333 0.6667 0.2500
Si2 0.6667 0.3333 0.7500
Te1 0.3333 0.6667 0.7500
Te2 0.6667 0.3333 0.2500
O1 0.0206 0.3851 0.1453
O2 0.0206 0.6356 0.3547
O3 0.3644 0.3851 0.3547
O4 0.3644 0.9794 0.1453
O5 0.3851 0.0206 0.6453
O6 0.3851 0.3644 0.8547
O7 0.6149 0.6356 0.1453
O8 0.6149 0.9794 0.3547
O9 0.6356 0.0206 0.8547
O10 0.6356 0.6149 0.6453
O11 0.9794 0.3644 0.6453
O12 0.9794 0.6149 0.8547

Please write out number 5 again, unchanged.
## Tl2Ni2C (PBE-GGA)

Data for a relaxed structure of Tl2Ni2C.

Properties
- Crystal system: tetragonal
- Energy of formation from the pure elements: 780 meV/atom
- N(E_F): 1.921 states/eV/cell

Unit cell a=4.9510 b=4.9510 c=4.9510 alpha=113.49 beta=113.49 gamma=101.70
Element x y z (fractional)
Tl1 0.2500 0.7500 0.5000
Tl2 0.7500 0.2500 0.5000
Ni1 0.2225 0.2225 0.0000
Ni2 0.7775 0.7775 0.0000
C1 0.5000 0.5000 0.0000